6
Lattice="0.000 3.770 3.770 3.770 0.000 3.770 3.770 3.770 0.000" Properties=species:S:1:pos:R:3 comment="Re4HgBr GGA-PBE relaxed" crystal_system=cubic raw_formation_energy_mev_per_atom=1287 space_group="F-43m (216)" pbc="T T T"
Re 0.936 0.936 0.936
Re 2.834 2.834 0.936
Re 2.834 0.936 2.834
Re 0.936 2.834 2.834
Hg 3.770 3.770 3.770
Br 5.656 5.656 5.656

=====

4
Lattice="3.405 0.000 0.000 0.000 3.405 0.000 0.000 0.000 6.942" Properties=species:S:1:pos:R:3 comment="Hf2CdMo GGA-PBE relaxed" crystal_system=tetragonal space_group="P4/mmm (123)" ef_mev_per_atom=-120 pbc="T T T"
Hf 0.000 0.000 1.525
Hf 0.000 0.000 5.417
Cd 1.702 1.702 3.471
Mo 1.702 1.702 0.000

=====

16
Lattice="3.895 0.000 0.000 0.000 3.895 0.000 0.000 0.000 18.822" Properties=species:S:1:pos:R:3 comment="Fe2SnAu GGA-PBE relaxed" crystal_system=tetragonal space_group="I-42d (122)" ef_mev_per_atom=442 pbc="T T T"
Fe 0.914 0.974 2.353
Fe 0.974 2.862 7.058
Fe 0.974 2.980 16.469
Fe 1.033 0.974 11.764
Fe 2.862 2.921 11.764
Fe 2.921 0.914 16.469
Fe 2.921 1.033 7.058
Fe 2.980 2.921 2.353
Sn 0.000 0.000 0.000
Sn 0.000 1.947 4.706
Sn 1.947 0.000 14.117
Sn 1.947 1.947 9.411
Au 0.000 0.000 9.411
Au 0.000 1.947 14.117
Au 1.947 0.000 4.706
Au 1.947 1.947 0.000

=====

9
Lattice="6.021 -1.962 0.000 6.021 1.962 0.000 -2.030 0.000 6.030" Properties=species:S:1:pos:R:3 comment="Nb2Pd6Pt GGA-PBE relaxed" crystal_system=monoclinic relative_energy_ev_per_atom=0.0000 space_group="C2/m (12)" ef_mev_per_atom=-392 pbc="T T T"
Nb 0.060 0.000 1.951
Nb 9.952 0.000 4.078
Pd 1.981 0.000 0.009
Pd 2.012 0.000 3.999
Pd 4.078 0.000 2.032
Pd 5.934 0.000 3.998
Pd 7.999 0.000 2.031
Pd 8.031 0.000 6.021
Pt 6.021 0.000 0.000